No. 1
Compound: NaInSbIr
Source: OQMD
Functional: PBE
Structure: optimized geometry

a b c (Å): 4.892 4.892 4.892
angles (deg): 60.00 60.00 60.00
Element x y z (fractional)
In 0.250 0.250 0.250
Ir 0.000 0.000 0.000
Na 0.750 0.750 0.750
Sb 0.500 0.500 0.500

Properties
Energy above the lowest structure with this stoichiometry (eV/atom): 0.358



No. 2
Compound: NaInSbIr
Source: OQMD
Functional: PBE
Structure: optimized geometry

a b c (Å): 4.784 4.784 4.784
angles (deg): 60.00 60.00 60.00
Element x y z (fractional)
In 0.000 0.000 0.000
Ir 0.250 0.250 0.250
Na 0.750 0.750 0.750
Sb 0.500 0.500 0.500

Properties
Energy above the lowest structure with this stoichiometry (eV/atom): 0.000